No. 1
Entry from the Alexandria database: an optimized crystal structure of Dy2Cd3 (PBE-GGA).

CIF file:
```
data_Dy2Cd3
_cell_length_a 3.4574
_cell_length_b 29.5457
_cell_length_c 4.9555
_cell_angle_alpha 90.00
_cell_angle_beta 90.00
_cell_angle_gamma 90.00
_space_group_name_H-M_alt 'C m c m'
_space_group_IT_number 63
_space_group_name_Hall '-C 2c 2'
loop_
_atom_site_label
_atom_site_type_symbol
_atom_site_fract_x
_atom_site_fract_y
_atom_site_fract_z
Dy1 Dy 0.0000 0.0746 0.2500
Dy2 Dy 0.0000 0.2155 0.7500
Cd1 Cd 0.0000 0.3254 0.7500
Cd2 Cd 0.0000 0.3792 0.2500
Cd3 Cd 0.0000 0.4764 0.2500
```

Output
Polymorph energy (0 for the lowest one): 0.000 eV per atom

No. 2
Entry from the Alexandria database: an optimized crystal structure of Dy5Cd (PBE-GGA).

CIF file:
```
data_Dy5Cd
_cell_length_a 4.8578
_cell_length_b 15.0217
_cell_length_c 4.8475
_cell_angle_alpha 90.00
_cell_angle_beta 90.00
_cell_angle_gamma 90.00
_space_group_name_H-M_alt 'C m m m'
_space_group_IT_number 65
_space_group_name_Hall '-C 2 2'
loop_
_atom_site_label
_atom_site_type_symbol
_atom_site_fract_x
_atom_site_fract_y
_atom_site_fract_z
Dy1 Dy 0.0000 0.0000 0.0000
Dy2 Dy 0.0000 0.1633 0.5000
Dy3 Dy 0.0000 0.3313 0.0000
Cd1 Cd 0.0000 0.5000 0.5000
```

Output
Polymorph energy (0 for the lowest one): 0.016 eV per atom

No. 3
Entry from the Alexandria database: an optimized crystal structure of DyCd2 (PBE-GGA).

CIF file:
```
data_DyCd2
_cell_length_a 4.9865
_cell_length_b 4.9865
_cell_length_c 3.4061
_cell_angle_alpha 90.00
_cell_angle_beta 90.00
_cell_angle_gamma 120.00
_space_group_name_H-M_alt 'P 6/m m m'
_space_group_IT_number 191
_space_group_name_Hall '-P 6 2'
loop_
_atom_site_label
_atom_site_type_symbol
_atom_site_fract_x
_atom_site_fract_y
_atom_site_fract_z
Dy1 Dy 0.0000 0.0000 0.0000
Cd1 Cd 0.3333 0.6667 0.5000
```

Number 1: energy of formation -0.287 eV per atom. Number 2: energy of formation -0.055 eV per atom. Number 3: energy of formation -0.316 eV per atom.